Sr3Hg: optimized geometry, GGA-PBEsol.

a b c (Å): 8.732 8.732 4.605
angles (deg): 90.00 90.00 105.31
Atoms (fractional coordinates):
Sr 0.115 0.885 0.750
Sr 0.181 0.439 0.750
Sr 0.439 0.181 0.250
Sr 0.561 0.819 0.750
Sr 0.819 0.561 0.250
Sr 0.885 0.115 0.250
Hg 0.277 0.723 0.250
Hg 0.723 0.277 0.750

Properties
Symmetry: Cmcm, No. 63
Calculated total energy in eV/cell: -14.271

CuIr2Cl: optimized geometry, GGA-PBEsol.

a b c (Å): 4.413 4.413 2.810
angles (deg): 90.00 90.00 90.00
Atoms (fractional coordinates):
Cu 0.000 0.000 0.000
Ir 0.000 0.500 0.500
Ir 0.500 0.000 0.500
Cl 0.500 0.500 0.000

Properties
Symmetry: P4/mmm, No. 123
Calculated total energy in eV/cell: -22.144

Zn2CoPt: optimized geometry, GGA-PBEsol.

a b c (Å): 8.609 8.609 8.609
angles (deg): 17.98 17.98 17.98
Atoms (fractional coordinates):
Zn 0.000 0.000 0.000
Zn 0.246 0.246 0.246
Co 0.501 0.501 0.501
Pt 0.753 0.753 0.753

Properties
Symmetry: R3m, No. 160
Calculated total energy in eV/cell: -18.090

Cd2TcOs2: optimized geometry, GGA-PBEsol.

a b c (Å): 7.443 7.443 7.443
angles (deg): 152.64 152.64 39.09
Atoms (fractional coordinates):
Cd 0.250 0.750 0.500
Cd 0.750 0.250 0.500
Tc 0.000 0.000 0.000
Os 0.412 0.412 0.000
Os 0.588 0.588 0.000

Properties
Symmetry: I4/mmm, No. 139
Calculated total energy in eV/cell: -31.774

Y5Sc3: optimized geometry, GGA-PBEsol.

a b c (Å): 6.776 6.776 4.825
angles (deg): 90.00 90.00 90.87
Atoms (fractional coordinates):
Y 0.000 0.000 0.000
Y 0.000 0.500 0.000
Y 0.255 0.255 0.500
Y 0.500 0.000 0.000
Y 0.745 0.745 0.500
Sc 0.252 0.748 0.500
Sc 0.500 0.500 0.000
Sc 0.748 0.252 0.500

Properties
Symmetry: Cmmm, No. 65
Calculated total energy in eV/cell: -53.495

Hg2Pt2Pb: optimized geometry, GGA-PBEsol.

a b c (Å): 7.225 7.225 7.225
angles (deg): 148.06 148.06 45.80
Atoms (fractional coordinates):
Hg 0.108 0.108 0.000
Hg 0.892 0.892 0.000
Pt 0.250 0.750 0.500
Pt 0.750 0.250 0.500
Pb 0.500 0.500 0.000

Properties
Symmetry: I4/mmm, No. 139
Calculated total energy in eV/cell: -18.284

SrLiCl3: optimized geometry, GGA-PBEsol.

a b c (Å): 4.712 4.712 4.712
angles (deg): 90.00 90.00 90.00
Atoms (fractional coordinates):
Sr 0.000 0.000 0.000
Li 0.500 0.500 0.500
Cl 0.000 0.500 0.500
Cl 0.500 0.000 0.500
Cl 0.500 0.500 0.000

Properties
Symmetry: Pm-3m, No. 221
Calculated total energy in eV/cell: -20.201

Cd2Au3: optimized geometry, GGA-PBEsol.

a b c (Å): 11.686 11.686 11.686
angles (deg): 14.72 14.72 14.72
Atoms (fractional coordinates):
Cd 0.099 0.099 0.099
Cd 0.901 0.901 0.901
Au 0.300 0.300 0.300
Au 0.500 0.500 0.500
Au 0.700 0.700 0.700

Properties
Symmetry: R-3m, No. 166
Calculated total energy in eV/cell: -14.544

| no. | density of states at the Fermi level (states/eV/f.u.) |
| --- | --- |
| 1 | 4.413 |
| 2 | 5.532 |
| 3 | 3.098 |
| 4 | 5.885 |
| 5 | 13.214 |
| 6 | 2.502 |
| 7 | 0.000 |
| 8 | 1.629 |